Rb2SmV2O6: relaxed, GGA+U.

a b c (Å): 7.186 7.186 7.186
angles (deg): 51.40 51.40 51.40
Sites, in units of the cell vectors:
1 Rb 0.212 0.212 0.212
2 Rb 0.788 0.788 0.788
3 Sm 0.000 0.000 0.000
4 V 0.420 0.420 0.420
5 V 0.580 0.580 0.580
6 O 0.248 0.248 0.735
7 O 0.248 0.735 0.248
8 O 0.265 0.752 0.752
9 O 0.735 0.248 0.248
10 O 0.752 0.265 0.752
11 O 0.752 0.752 0.265

Calculated values
The calculation puts the energy at -6.801 eV per atom. The space group is R-3m (166).